No. 1
VASP calculation (PBE) on a relaxed NaRe2AuF crystal.

```
NaRe2AuF
1.0
-1.2268 3.2176 2.3292
-1.4437 -2.8076 3.1181
3.7348 0.1043 1.8231
Re Na F Au
2 1 1 1
direct
0.0000 0.0000 0.5000
0.5000 0.0000 0.0000
0.0000 0.5000 0.0000
0.0000 0.0000 0.0000
0.5000 0.5000 0.5000
```

## Properties
E_tot   -27.0 eV/f.u.
D(E_F)   1.112 states/eV per atom

---

No. 2
VASP calculation (PBE) on a relaxed Na2RuAuF6 crystal.

```
Na2RuAuF6
1.0
0.0000 4.3972 4.3972
4.3972 0.0000 4.3972
4.3972 4.3972 0.0000
Na F Au Ru
2 6 1 1
direct
0.7500 0.7500 0.7500
0.2500 0.2500 0.2500
0.7698 0.2302 0.7698
0.2302 0.7698 0.7698
0.7698 0.7698 0.2302
0.2302 0.7698 0.2302
0.2302 0.2302 0.7698
0.7698 0.2302 0.2302
0.5000 0.5000 0.5000
0.0000 0.0000 0.0000
```

## Properties
E_tot   -42.5 eV/f.u.
D(E_F)   1.121 states/eV per atom

---

No. 3
VASP calculation (PBE) on a relaxed Na2AuSF crystal.

```
Na2AuSF
1.0
-2.8926 3.6705 -2.7902
-3.3608 -1.8902 0.9976
-0.4048 3.0790 4.4700
S Na Au F
1 2 1 1
direct
0.0000 0.0000 0.0000
0.0000 0.0000 0.5000
0.5000 0.0000 0.0000
0.5000 0.5000 0.5000
0.0000 0.5000 0.0000
```

## Properties
E_tot   -14.9 eV/f.u.
D(E_F)   0.004 states/eV per atom

---

What did the first record say?
VASP calculation (PBE) on a relaxed NaRe2AuF crystal.

```
NaRe2AuF
1.0
-1.2268 3.2176 2.3292
-1.4437 -2.8076 3.1181
3.7348 0.1043 1.8231
Re Na F Au
2 1 1 1
direct
0.0000 0.0000 0.5000
0.5000 0.0000 0.0000
0.0000 0.5000 0.0000
0.0000 0.0000 0.0000
0.5000 0.5000 0.5000
```

## Properties
E_tot   -27.0 eV/f.u.
D(E_F)   1.112 states/eV per atom

---

- Look up the D(E_F) of the third one.
  0.004 states/eV per atom

---

- Look up the E_tot of the first one.
  -27.0 eV/f.u.